Record 1
## PmCuH4 (PBE)

Data for an optimized crystal structure of PmCuH4.

Cell and atoms, written as POSCAR:
```
PmCuH4
1.0
3.097 -5.971 0.000
3.097 5.971 0.000
-2.549 0.000 3.389
Pm Cu H
2 2 8
Direct
0.124 0.876 0.750 Pm
0.876 0.124 0.250 Pm
0.358 0.642 0.250 Cu
0.642 0.358 0.750 Cu
0.151 0.584 0.414 H
0.157 0.291 0.943 H
0.291 0.157 0.443 H
0.416 0.849 0.086 H
0.584 0.151 0.914 H
0.709 0.843 0.557 H
0.843 0.709 0.057 H
0.849 0.416 0.586 H
```

Summary:
* V: 125 Å³/cell
* offset from the most stable computed form: 0 meV per atom

***

Record 2
## PmCuH3 (PBE)

Data for an optimized crystal structure of PmCuH3.

Cell and atoms, written as POSCAR:
```
PmCuH3
1.0
3.662 0.000 0.000
0.000 3.662 0.000
0.000 0.000 3.662
Pm Cu H
1 1 3
Direct
0.000 0.000 0.000 Pm
0.500 0.500 0.500 Cu
0.000 0.500 0.500 H
0.500 0.000 0.500 H
0.500 0.500 0.000 H
```

Summary:
* V: 49 Å³/cell
* offset from the most stable computed form: 201 meV per atom

***

Record 3
## PmCuH6Pt (PBE)

Data for an optimized crystal structure of PmCuH6Pt.

Cell and atoms, written as POSCAR:
```
PmCuH6Pt
1.0
4.610 0.000 0.000
-2.305 3.993 0.000
0.000 0.000 4.397
Pm Cu H Pt
1 1 6 1
Direct
0.000 0.000 0.000 Pm
0.667 0.333 0.500 Cu
0.501 0.001 0.234 H
0.501 0.001 0.766 H
0.501 0.499 0.234 H
0.501 0.499 0.766 H
0.999 0.499 0.234 H
0.999 0.499 0.766 H
0.333 0.667 0.500 Pt
```

Summary:
* electronic total energy: -37.31 eV/f.u.
* V: 81 Å³/cell

***

Record 4
## PmCuH6Pt2 (PBE)

Data for an optimized crystal structure of PmCuH6Pt2.

Cell and atoms, written as POSCAR:
```
PmCuH6Pt2
1.0
2.311 1.334 5.143
-2.311 1.334 5.143
0.000 -2.669 5.143
Pm Cu H Pt
1 1 6 2
Direct
0.000 0.000 0.000 Pm
0.500 0.500 0.500 Cu
0.093 0.556 0.556 H
0.444 0.444 0.907 H
0.444 0.907 0.444 H
0.556 0.093 0.556 H
0.556 0.556 0.093 H
0.907 0.444 0.444 H
0.211 0.211 0.211 Pt
0.789 0.789 0.789 Pt
```

Summary:
* electronic total energy: -44.15 eV/f.u.
* V: 95 Å³/cell

***

Record 5
## PmCu2H8Pt (PBE)

Data for an optimized crystal structure of PmCu2H8Pt.

Cell and atoms, written as POSCAR:
```
PmCu2H8Pt
1.0
4.369 0.000 0.000
0.314 4.561 0.000
0.531 1.352 5.613
Pm Cu H Pt
1 2 8 1
Direct
0.000 0.000 0.000 Pm
0.476 0.520 0.789 Cu
0.524 0.480 0.211 Cu
0.094 0.590 0.765 H
0.219 0.182 0.557 H
0.284 0.724 0.339 H
0.479 0.217 0.053 H
0.521 0.783 0.947 H
0.716 0.276 0.661 H
0.781 0.818 0.443 H
0.906 0.410 0.235 H
0.000 0.500 0.500 Pt
```

Summary:
* electronic total energy: -47.56 eV/f.u.
* V: 112 Å³/cell

***

Record 6
## Pm2CuH12Rh3 (PBE)

Data for an optimized crystal structure of Pm2CuH12Rh3.

Cell and atoms, written as POSCAR:
```
Pm2CuH12Rh3
1.0
3.113 1.798 4.729
-3.113 1.798 4.729
0.000 -3.595 4.729
Pm Cu H Rh
2 1 12 3
Direct
0.123 0.123 0.123 Pm
0.877 0.877 0.877 Pm
0.500 0.500 0.500 Cu
0.147 0.605 0.605 H
0.166 0.166 0.630 H
0.166 0.630 0.166 H
0.370 0.834 0.834 H
0.395 0.395 0.853 H
0.395 0.853 0.395 H
0.605 0.147 0.605 H
0.605 0.605 0.147 H
0.630 0.166 0.166 H
0.834 0.370 0.834 H
0.834 0.834 0.370 H
0.853 0.395 0.395 H
0.000 0.500 0.500 Rh
0.500 0.000 0.500 Rh
0.500 0.500 0.000 Rh
```

Summary:
* electronic total energy: -80.35 eV/f.u.
* V: 159 Å³/cell